Here is a relaxed InReAs2 crystal from Alexandria. Energies are from PBE.

Properties
- Total magnetic moment: 0.88 μB per cell
- V: 18.1 Å³ per atom
- Formation energy: 0.66 eV/atom
- Uncorrected energy: -5.46 eV per atom
- Crystal system: orthorhombic

Unit cell a=5.7130 b=7.5533 c=3.3543 alpha=90.00 beta=90.00 gamma=90.00
Space group Cmmm (No. 65)
Unique sites:
1 In 0.0000 0.0000 0.0000 x2
2 Re 0.0000 0.5000 0.0000 x2
3 As 0.2500 0.2500 0.5000 x4